DFT (PBE-GGA) results for CaPmSc4Se8 after structural relaxation.

Computed properties:
- Total magnetization: 0.00 μB per cell
- Formation energy from raw total energies: -1.67 eV per atom
- SG: No. 160

Cell lengths 8.2831, 8.2831, 8.2831 Å; angles 58.56, 58.56, 58.56 degrees
Positions (direct):
1 Ca 0.0000 0.0000 0.0000
2 Pm 0.3685 0.3685 0.3685
3 Sc 0.3688 0.3688 0.8748
4 Sc 0.3688 0.8748 0.3688
5 Sc 0.7428 0.7428 0.7428
6 Sc 0.8748 0.3688 0.3688
7 Se 0.1202 0.1202 0.5874
8 Se 0.1202 0.5874 0.1202
9 Se 0.1345 0.6236 0.6236
10 Se 0.1350 0.1350 0.1350
11 Se 0.5874 0.1202 0.1202
12 Se 0.6120 0.6120 0.6120
13 Se 0.6236 0.1345 0.6236
14 Se 0.6236 0.6236 0.1345